First-principles (GGA-PBE) data for an optimized crystal structure of MnCr2Fe5Tc2, as listed in Alexandria.

Geometry as extended XYZ:
```
20
Lattice="3.794 0.000 0.000 0.000 8.031 0.000 0.000 0.000 8.031" Properties=species:S:1:pos:R:3 pbc="T T T"
Mn 0.000 0.000 0.000
Mn 0.000 4.016 4.016
Cr 0.000 1.033 5.049
Cr 0.000 6.998 2.982
Cr 0.000 5.049 6.998
Cr 0.000 2.982 1.033
Fe 1.897 1.602 0.550
Fe 1.897 6.429 7.481
Fe 1.897 0.550 6.429
Fe 1.897 5.618 3.466
Fe 1.897 7.481 1.602
Fe 1.897 2.413 4.566
Fe 1.897 4.566 5.618
Fe 1.897 3.466 2.413
Fe 1.897 4.016 0.000
Fe 1.897 0.000 4.016
Tc 0.000 5.367 1.351
Tc 0.000 2.664 6.680
Tc 0.000 1.351 2.664
Tc 0.000 6.680 5.367
```

Calculated values
The crystal system is tetragonal. For the total DFT energy (no corrections), the calculation gives -8.8995 eV per atom. Its total magnetization is 0.707 μB/atom.